1.
Entry from Alexandria via LeMat-Bulk: an optimized crystal structure of Nd4Sm9Hg11 (PBE).

Calculated values
Its density of states at the Fermi level is 1.164 states/eV per atom. The value obtained for the density is 10.3 g/cm³. The crystal system is orthorhombic. As for the formation energy from the elements: -380 meV/atom.

a b c (Å): 15.9947 22.9632 3.6404
angles (deg): 90.00 90.00 90.00
With the nearest neighbours (Å) after each atom.
Space group Cmmm (No. 65)
Asymmetric unit:
Nd: 0.1598 0.0859 0.0000 x8  2 Sm 3.23-3.47, 6 Hg 3.30-3.32
Sm: 0.0000 0.0000 0.0000 x2  4 Nd 3.23, 4 Hg 3.56
Sm: 0.1139 0.4084 0.0000 x8  8 Hg 3.26-3.33, 1 Nd 3.62, 3 Sm 3.64
Sm: 0.1167 0.2341 0.0000 x8  8 Hg 3.25-3.49, 1 Nd 3.47, 2 Sm 3.64
Hg: 0.0000 0.1331 0.5000 x4  4 Nd 3.32, 6 Sm 3.49-3.56, 2 Hg 3.64
Hg: 0.0000 0.3203 0.5000 x4  8 Sm 3.27, 2 Hg 3.64
Hg: 0.0000 0.5000 0.5000 x2  8 Sm 3.33, 4 Hg 3.52-3.64
Hg: 0.2203 0.5000 0.5000 x4  4 Sm 3.26, 4 Nd 3.30, 3 Hg 3.52-3.64
Hg: 0.2304 0.3208 0.5000 x8  6 Sm 3.25-3.30, 3 Hg 3.31-3.64, 2 Nd 3.31

2.
Entry from Alexandria via LeMat-Bulk: an optimized crystal structure of Nd3SmHg5 (PBE).

Calculated values
Its density of states at the Fermi level is 1.081 states/eV per atom. The value obtained for the density is 10.4 g/cm³. The crystal system is hexagonal. As for the formation energy from the elements: -420 meV/atom.

a b c (Å): 9.3329 9.3329 6.6829
angles (deg): 90.00 90.00 120.00
With the nearest neighbours (Å) after each atom.
Space group P6_3/mcm (No. 193)
Asymmetric unit:
Nd: 0.0000 0.3716 0.2500 x6  9 Hg 3.09-3.41
Sm: 0.0000 0.0000 0.0000 x2  6 Hg 3.24, 2 Sm 3.34
Hg: 0.0000 0.2973 0.7500 x6  5 Nd 3.09-3.41, 2 Sm 3.24
Hg: 0.3333 0.6667 0.0000 x4  8 Hg 3.34-3.69, 6 Nd 3.39

3.
Entry from Alexandria via LeMat-Bulk: an optimized crystal structure of Nd5SmHg (PBE).

Calculated values
Its density of states at the Fermi level is 1.124 states/eV per atom. The value obtained for the density is 7.6 g/cm³. The crystal system is monoclinic. As for the formation energy from the elements: 8 meV/atom.

a b c (Å): 8.7885 9.5970 11.8627
angles (deg): 90.00 110.01 90.00
With the nearest neighbours (Å) after each atom.
Space group C2/c (No. 15)
Asymmetric unit:
Nd: 0.0000 0.1289 0.2500 x4  2 Hg 3.21, 1 Sm 3.49, 4 Nd 3.49-3.50
Nd: 0.1104 0.3276 0.5399 x8  3 Nd 3.28-3.50, 1 Hg 3.28, 2 Sm 3.43-3.60
Nd: 0.2069 0.1813 0.8561 x8  1 Hg 3.37, 7 Nd 3.47-3.78, 2 Sm 3.62-3.63
Sm: 0.0000 0.4923 0.2500 x4  9 Nd 3.43-3.63
Hg: 0.0000 0.0000 0.0000 x4  6 Nd 3.21-3.37

4.
Entry from Alexandria via LeMat-Bulk: an optimized crystal structure of Nd3SmHg2 (PBE).

Calculated values
The calculation puts the distance to the lowest polymorph of the same formula at 0.0000 eV/atom. Its density of states at the Fermi level is 0.609 states/eV per atom. The value obtained for the density is 8.9 g/cm³. The crystal system is orthorhombic. As for the formation energy from the elements: -329 meV/atom.

a b c (Å): 5.2890 9.6231 7.1820
angles (deg): 90.00 90.00 90.00
With the nearest neighbours (Å) after each atom.
Space group Pmc2_1 (No. 26)
Asymmetric unit:
Nd: 0.0000 0.0554 0.0000 x2  3 Hg 3.25-3.31, 1 Nd 3.58
Nd: 0.0000 0.3277 0.3401 x2  4 Hg 3.12-3.22
Nd: 0.5000 0.1746 0.6868 x2  4 Hg 3.16-3.22
Sm: 0.5000 0.4447 0.0279 x2  3 Hg 3.24-3.30, 1 Nd 3.57
Hg: 0.0000 0.3514 0.7822 x2  5 Nd 3.12-3.25, 2 Sm 3.30
Hg: 0.5000 0.1503 0.2460 x2  6 Nd 3.16-3.31, 1 Sm 3.24

5.
Entry from Alexandria via LeMat-Bulk: an optimized crystal structure of Nd2SmHg (PBE).

Calculated values
The calculation puts the distance to the lowest polymorph of the same formula at 0.0000 eV/atom. Its density of states at the Fermi level is 1.252 states/eV per atom. The value obtained for the density is 8.4 g/cm³. The crystal system is tetragonal. As for the formation energy from the elements: -225 meV/atom.

a b c (Å): 3.7406 3.7406 9.0144
angles (deg): 90.00 90.00 90.00
With the nearest neighbours (Å) after each atom.
Space group P4/mmm (No. 123)
Asymmetric unit:
Nd: 0.0000 0.0000 0.2220 x2  4 Hg 3.32, 4 Sm 3.64
Sm: 0.5000 0.5000 0.5000 x1  8 Nd 3.64, 4 Sm 3.74
Hg: 0.5000 0.5000 0.0000 x1  8 Nd 3.32

6.
Entry from Alexandria via LeMat-Bulk: an optimized crystal structure of Nd2SmHg4 (PBE).

Calculated values
The calculation puts the distance to the lowest polymorph of the same formula at 0.3262 eV/atom. Its density of states at the Fermi level is 1.027 states/eV per atom. The value obtained for the density is 8.0 g/cm³. The crystal system is tetragonal. As for the formation energy from the elements: -14 meV/atom.

a b c (Å): 5.7222 5.7222 15.7542
angles (deg): 90.00 90.00 90.00
With the nearest neighbours (Å) after each atom.
Space group I4/mmm (No. 139)
Asymmetric unit:
Nd: 0.0000 0.0000 0.1041 x4  5 Hg 3.15-3.30, 1 Nd 3.28
Sm: 0.0000 0.0000 0.5000 x2  6 Hg 2.86-3.08
Hg: 0.0000 0.0000 0.3043 x4  1 Sm 3.08, 1 Nd 3.15
Hg: 0.0000 0.5000 0.0000 x4  2 Sm 2.86